# Dy3ErSc2 (GGA-PBE, relaxed)
data_Dy3ErSc2
_space_group_name_H-M_alt 'C 1 2/m 1'
_space_group_IT_number 12
_space_group_name_Hall '-C 2y'
_cell_length_a 22.548
_cell_length_b 3.371
_cell_length_c 9.838
_cell_angle_alpha 90.00
_cell_angle_beta 107.90
_cell_angle_gamma 90.00
loop_
_atom_site_label
_atom_site_fract_x
_atom_site_fract_y
_atom_site_fract_z
Dy1 0.059 0.000 0.432
Dy2 0.070 0.500 0.774
Dy3 0.197 0.000 0.708
Er1 0.186 0.000 0.044
Sc1 0.072 0.500 0.137
Sc2 0.192 0.000 0.372
# E_form, eV per atom: 0.149
# Energy relative to the lowest polymorph listed for this composition, meV per atom: 0.0
# Uncorrected energy, eV/f.u.: -30.14



# In2Ga2Bi (GGA-PBE, relaxed)
data_In2Ga2Bi
_space_group_name_H-M_alt 'C 1 2/m 1'
_space_group_IT_number 12
_space_group_name_Hall '-C 2y'
_cell_length_a 9.952
_cell_length_b 5.575
_cell_length_c 4.822
_cell_angle_alpha 90.00
_cell_angle_beta 106.62
_cell_angle_gamma 90.00
loop_
_atom_site_label
_atom_site_fract_x
_atom_site_fract_y
_atom_site_fract_z
In1 0.229 0.000 0.137
Ga1 0.083 0.500 0.278
Bi1 0.000 0.000 0.500
# E_form, eV per atom: 0.059
# Energy relative to the lowest polymorph listed for this composition, meV per atom: 0.0
# Uncorrected energy, eV/f.u.: -15.12



# ErPaIrRu (GGA-PBE, relaxed)
data_ErPaIrRu
_space_group_name_H-M_alt 'C 1 m 1'
_space_group_IT_number 8
_space_group_name_Hall 'C -2y'
_cell_length_a 7.885
_cell_length_b 4.594
_cell_length_c 5.312
_cell_angle_alpha 90.00
_cell_angle_beta 119.57
_cell_angle_gamma 90.00
loop_
_atom_site_label
_atom_site_fract_x
_atom_site_fract_y
_atom_site_fract_z
Er1 0.000 0.000 0.000
Pa1 0.002 0.500 0.509
Ir1 0.271 0.500 0.318
Ru1 0.222 0.000 0.655
# E_form, eV per atom: -0.643
# Uncorrected energy, eV/f.u.: -34.77



# Pm2Dy4YEr2 (GGA-PBE, relaxed)
data_Pm2Dy4YEr2
_space_group_name_H-M_alt 'C 1 2/m 1'
_space_group_IT_number 12
_space_group_name_Hall '-C 2y'
_cell_length_a 18.651
_cell_length_b 3.594
_cell_length_c 9.550
_cell_angle_alpha 90.00
_cell_angle_beta 115.76
_cell_angle_gamma 90.00
loop_
_atom_site_label
_atom_site_fract_x
_atom_site_fract_y
_atom_site_fract_z
Pm1 0.166 0.000 0.498
Dy1 0.019 0.000 0.837
Dy2 0.186 0.500 0.836
Y1 0.000 0.500 0.500
Er1 0.147 0.500 0.164
# E_form, eV per atom: -0.002
# Uncorrected energy, eV/f.u.: -43.52



# Tm4TlSnN (GGA-PBE, relaxed)
data_Tm4TlSnN
_space_group_name_H-M_alt 'C m c m'
_space_group_IT_number 63
_space_group_name_Hall '-C 2c 2'
_cell_length_a 6.554
_cell_length_b 15.793
_cell_length_c 6.553
_cell_angle_alpha 90.00
_cell_angle_beta 90.00
_cell_angle_gamma 90.00
loop_
_atom_site_label
_atom_site_fract_x
_atom_site_fract_y
_atom_site_fract_z
Tm1 0.000 0.088 0.250
Tm2 0.000 0.409 0.250
Tm3 0.250 0.250 0.000
Tl1 0.000 0.109 0.750
Sn1 0.000 0.392 0.750
N1 0.000 0.251 0.250
# Uncorrected energy, eV/f.u.: -38.67



# Tm5Hg2Pd (GGA-PBE, relaxed)
data_Tm5Hg2Pd
_space_group_name_H-M_alt 'P b a m'
_space_group_IT_number 55
_space_group_name_Hall '-P 2 2ab'
_cell_length_a 6.829
_cell_length_b 12.175
_cell_length_c 4.896
_cell_angle_alpha 90.00
_cell_angle_beta 90.00
_cell_angle_gamma 90.00
loop_
_atom_site_label
_atom_site_fract_x
_atom_site_fract_y
_atom_site_fract_z
Tm1 0.000 0.000 0.000
Tm2 0.138 0.286 0.000
Tm3 0.174 0.593 0.500
Hg1 0.097 0.842 0.500
Pd1 0.000 0.500 0.000
# E_form, eV per atom: -0.475
# Uncorrected energy, eV/f.u.: -31.96



# PrNdYIn (GGA-PBE, relaxed)
data_PrNdYIn
_space_group_name_H-M_alt 'F -4 3 m'
_space_group_IT_number 216
_space_group_name_Hall 'F -4 2 3'
_cell_length_a 7.889
_cell_length_b 7.889
_cell_length_c 7.889
_cell_angle_alpha 90.00
_cell_angle_beta 90.00
_cell_angle_gamma 90.00
loop_
_atom_site_label
_atom_site_fract_x
_atom_site_fract_y
_atom_site_fract_z
Pr1 0.000 0.000 0.000
Nd1 0.250 0.250 0.250
Y1 0.250 0.250 0.750
In1 0.000 0.000 0.500
# E_form, eV per atom: -0.119
# Energy relative to the lowest polymorph listed for this composition, meV per atom: 23.9
# Uncorrected energy, eV/f.u.: -19.23



# TcWSe4 (GGA-PBE, relaxed)
data_TcWSe4
_space_group_name_H-M_alt 'C 1 2/c 1'
_space_group_IT_number 15
_space_group_name_Hall '-C 2yc'
_cell_length_a 7.563
_cell_length_b 13.727
_cell_length_c 5.696
_cell_angle_alpha 90.00
_cell_angle_beta 120.05
_cell_angle_gamma 90.00
loop_
_atom_site_label
_atom_site_fract_x
_atom_site_fract_y
_atom_site_fract_z
Tc1 0.000 0.155 0.250
W1 0.000 0.051 0.750
Se1 0.216 0.199 0.725
Se2 0.229 0.443 0.743
# Energy relative to the lowest polymorph listed for this composition, meV per atom: 0.0
# Uncorrected energy, eV/f.u.: -38.65



- What is the formula in the sixth record?
  Tm5Hg2Pd



- What is the formula in the fifth record?
  Tm4TlSnN